# SrNiAu2F (PBE+U, relaxed)
data_SrNiAu2F
_chemical_formula_sum 'Sr1 Ni1 Au2 F1'
_space_group_name_H-M_alt 'P 4/m m m'
_space_group_IT_number 123
_space_group_name_Hall '-P 4 2'
_cell_length_a 5.019
_cell_length_b 5.019
_cell_length_c 4.266
_cell_angle_alpha 90.00
_cell_angle_beta 90.00
_cell_angle_gamma 90.00
loop_
_atom_site_label
_atom_site_type_symbol
_atom_site_fract_x
_atom_site_fract_y
_atom_site_fract_z
_atom_site_occupancy
Sr1 Sr 0.000 0.000 0.000 1
Ni1 Ni 0.500 0.500 0.500 1
Au1 Au 0.000 0.500 0.500 1
F1 F 0.500 0.500 0.000 1
# - Energy: -3.28 eV per atom